1.
A geometry-optimized AlRu2Rh structure. Source: the Alexandria database, functional PBE.

Geometry as POSCAR:
```
AlRu2Rh
1.0
4.661 -0.004 0.032
3.834 2.649 0.032
0.851 0.265 4.558
Rh Ru Al
1 2 1
Direct
0.248 0.248 0.282 Rh
0.748 0.748 0.780 Ru
0.002 0.002 0.965 Ru
0.501 0.501 0.472 Al
```

## Properties
The energy of formation is -268 meV/atom. The calculation puts the magnetization at 0.00 μB per cell. The space group is Cm.



2.
A geometry-optimized ScInSe2 structure. Source: the Alexandria database, functional PBE.

Geometry as POSCAR:
```
ScInSe2
1.0
4.053 0.108 0.000
-0.108 4.053 0.000
0.000 0.000 5.820
Se Sc In
2 1 1
Direct
0.500 0.500 0.375 Se
0.000 0.000 0.875 Se
0.500 0.500 0.875 Sc
0.000 0.000 0.375 In
```

## Properties
For the raw formation energy, the calculation gives -928 meV per atom. The calculation puts the magnetization at 0.00 μB per cell. The space group is P4/mmm.



3.
A geometry-optimized CsIBrO2 structure. Source: the Alexandria database, functional PBE.

Geometry as POSCAR:
```
CsIBrO2
1.0
4.378 0.000 0.000
0.000 4.378 0.000
0.000 0.000 8.591
I Br Cs O
1 1 1 2
Direct
0.000 0.000 0.500 I
0.500 0.500 0.500 Br
0.000 0.000 0.000 Cs
0.500 0.000 0.000 O
0.000 0.500 0.000 O
```

## Properties
For the raw formation energy, the calculation gives 448 meV per atom. The calculation puts the magnetization at 0.18 μB per cell. The space group is P4/mmm.



4.
A geometry-optimized CoSiW2 structure. Source: the Alexandria database, functional PBE.

Geometry as POSCAR:
```
CoSiW2
1.0
4.476 0.000 0.000
0.000 4.476 0.000
0.000 0.000 2.754
W Si Co
2 1 1
Direct
0.000 0.000 0.000 W
0.500 0.500 0.000 W
0.000 0.500 0.500 Si
0.500 0.000 0.500 Co
```

## Properties
For the raw formation energy, the calculation gives 131 meV per atom. The calculation puts the magnetization at 0.84 μB per cell. The space group is P4/mmm.



5.
A geometry-optimized LiGa2Pd2 structure. Source: the Alexandria database, functional PBE.

Geometry as POSCAR:
```
LiGa2Pd2
1.0
4.565 -0.057 -0.040
-1.025 4.449 -0.040
-1.270 -1.575 4.500
Ga Pd Li
2 2 1
Direct
0.390 0.390 0.715 Ga
0.610 0.610 0.285 Ga
0.789 0.211 0.500 Pd
0.211 0.789 0.500 Pd
0.000 0.000 0.000 Li
```

## Properties
The energy of formation is -457 meV/atom. The calculation puts the magnetization at 0.00 μB per cell. The space group is C2/m.



6.
A geometry-optimized Sr2Ta structure. Source: the Alexandria database, functional PBE.

Geometry as POSCAR:
```
Sr2Ta
1.0
5.839 0.000 0.000
-2.920 5.057 0.000
0.000 0.000 3.121
Sr Ta
2 1
Direct
0.667 0.333 0.500 Sr
0.333 0.667 0.500 Sr
0.000 0.000 0.000 Ta
```

## Properties
The energy of formation is 1093 meV/atom. The calculation puts the magnetization at 1.14 μB per cell. The space group is P6/mmm.



7.
A geometry-optimized Pu6Hf structure. Source: the Alexandria database, functional PBE.

Geometry as POSCAR:
```
Pu6Hf
1.0
-1.078 5.540 -1.154
-3.865 -3.311 -2.697
-0.349 -0.881 5.682
Hf Pu
1 6
Direct
0.000 0.000 0.000 Hf
0.250 0.750 0.500 Pu
0.500 0.750 0.250 Pu
0.750 0.250 0.500 Pu
0.750 0.500 0.250 Pu
0.250 0.500 0.750 Pu
0.500 0.250 0.750 Pu
```

## Properties
The energy of formation is 317 meV/atom. The calculation puts the magnetization at 0.00 μB per cell. The space group is Im-3m.



8.
A geometry-optimized Tb6Sm3Er2In structure. Source: the Alexandria database, functional PBE.

Geometry as POSCAR:
```
Tb6Sm3Er2In
1.0
6.141 -0.003 -0.004
-3.072 5.318 -0.004
-1.022 -1.770 11.466
Er Tb Sm In
2 6 3 1
Direct
0.334 0.666 0.000 Er
0.666 0.334 0.000 Er
0.408 0.081 0.244 Tb
0.753 0.753 0.245 Tb
0.592 0.919 0.756 Tb
0.247 0.247 0.755 Tb
0.919 0.592 0.756 Tb
0.081 0.408 0.244 Tb
0.500 0.500 0.500 Sm
0.833 0.167 0.500 Sm
0.167 0.833 0.500 Sm
0.000 0.000 0.000 In
```

## Properties
The energy of formation is -37 meV/atom. The calculation puts the magnetization at 0.00 μB per cell. The space group is C2/m.



9.
A geometry-optimized ThBeGa2Ru2 structure. Source: the Alexandria database, functional PBE.

Geometry as POSCAR:
```
ThBeGa2Ru2
1.0
-2.856 1.622 -2.781
0.814 -3.233 -2.721
-3.978 -2.978 2.348
Th Ru Ga Be
1 2 2 1
Direct
0.000 0.000 0.500 Th
0.000 0.500 0.000 Ru
0.500 0.000 0.000 Ru
0.500 0.500 0.739 Ga
0.500 0.500 0.261 Ga
0.000 0.000 0.000 Be
```

## Properties
The energy of formation is -464 meV/atom. The calculation puts the magnetization at 0.00 μB per cell. The space group is P4/mmm.



10.
A geometry-optimized TlNiRh2 structure. Source: the Alexandria database, functional PBE.

Geometry as POSCAR:
```
TlNiRh2
1.0
3.885 0.000 0.000
0.000 3.885 0.000
1.942 1.942 9.097
Rh Tl Ni
4 2 2
Direct
0.375 0.421 0.750 Rh
0.579 0.125 0.250 Rh
0.171 0.625 0.250 Rh
0.875 0.829 0.750 Rh
0.750 0.250 0.500 Tl
0.000 0.000 0.000 Tl
0.500 0.500 0.000 Ni
0.250 0.750 0.500 Ni
```

## Properties
The energy of formation is 487 meV/atom. The calculation puts the magnetization at 0.46 μB per cell. The space group is I-42d.



11.
A geometry-optimized MgZnS2 structure. Source: the Alexandria database, functional PBE.

Geometry as POSCAR:
```
MgZnS2
1.0
6.780 0.000 0.000
0.000 3.762 0.000
0.000 0.000 12.728
S Mg Zn
8 4 4
Direct
0.233 0.750 0.498 S
0.557 0.750 0.285 S
0.767 0.250 0.502 S
0.443 0.250 0.715 S
0.733 0.750 0.002 S
0.943 0.250 0.785 S
0.267 0.250 0.998 S
0.057 0.750 0.215 S
0.389 0.750 0.113 Mg
0.889 0.750 0.387 Mg
0.611 0.250 0.887 Mg
0.111 0.250 0.613 Mg
0.479 0.250 0.385 Zn
0.021 0.750 0.885 Zn
0.521 0.750 0.615 Zn
0.979 0.250 0.115 Zn
```

## Properties
For the raw formation energy, the calculation gives -867 meV per atom. The calculation puts the magnetization at 0.00 μB per cell. The space group is Pnma.



12.
A geometry-optimized HgRh structure. Source: the Alexandria database, functional PBE.

Geometry as POSCAR:
```
HgRh
1.0
1.491 -2.583 0.000
1.491 2.583 0.000
0.000 0.000 9.085
Hg Rh
2 2
Direct
0.000 0.000 0.500 Hg
0.000 0.000 0.000 Hg
0.667 0.333 0.750 Rh
0.333 0.667 0.250 Rh
```

## Properties
The energy of formation is 243 meV/atom. The calculation puts the magnetization at 0.00 μB per cell. The space group is P6_3/mmc.



13.
A geometry-optimized Cs2K2Au3 structure. Source: the Alexandria database, functional PBE.

Geometry as POSCAR:
```
Cs2K2Au3
1.0
-2.826 2.411 -2.057
-2.935 -2.987 0.531
-5.977 8.276 13.528
K Au Cs
2 3 2
Direct
0.686 0.500 0.627 K
0.314 0.500 0.373 K
0.137 0.000 0.726 Au
0.000 0.000 0.000 Au
0.863 0.000 0.274 Au
0.565 0.500 0.869 Cs
0.435 0.500 0.131 Cs
```

## Properties
The energy of formation is -271 meV/atom. The calculation puts the magnetization at 0.00 μB per cell. The space group is Cmmm.



14.
A geometry-optimized K2PRh structure. Source: the Alexandria database, functional PBE.

Geometry as POSCAR:
```
K2PRh
1.0
-4.958 -0.493 -0.455
0.608 -4.771 -1.377
1.964 1.627 4.304
P K Rh
1 2 1
Direct
0.500 0.500 0.000 P
0.250 0.750 0.500 K
0.000 0.000 0.000 K
0.750 0.250 0.500 Rh
```

## Properties
The energy of formation is 431 meV/atom. The calculation puts the magnetization at 1.25 μB per cell. The space group is I-4m2.



15.
A geometry-optimized Ta2FeMo structure. Source: the Alexandria database, functional PBE.

Geometry as POSCAR:
```
Ta2FeMo
1.0
9.077 -0.001 -0.001
8.612 2.868 -0.001
8.612 1.396 2.505
Ta Fe Mo
2 1 1
Direct
0.242 0.242 0.242 Ta
0.002 0.002 0.002 Ta
0.498 0.498 0.498 Fe
0.758 0.758 0.758 Mo
```

## Properties
The energy of formation is 282 meV/atom. The calculation puts the magnetization at 1.40 μB per cell. The space group is R3m.



16.
A geometry-optimized PSIO2 structure. Source: the Alexandria database, functional PBE.

Geometry as POSCAR:
```
PSIO2
1.0
3.643 0.000 0.000
0.000 3.643 0.000
0.000 0.000 6.120
S I O P
1 1 2 1
Direct
0.500 0.500 0.500 S
0.000 0.000 0.500 I
0.500 0.000 0.000 O
0.000 0.500 0.000 O
0.000 0.000 0.000 P
```

## Properties
For the raw formation energy, the calculation gives -56 meV per atom. The calculation puts the magnetization at 0.00 μB per cell. The space group is P4/mmm.



17.
A geometry-optimized TlSn2AsSe structure. Source: the Alexandria database, functional PBE.

Geometry as POSCAR:
```
TlSn2AsSe
1.0
-1.219 -0.734 -3.938
6.565 -1.668 -1.721
-2.231 -9.614 2.483
As Tl Sn Se
2 2 4 2
Direct
0.250 0.257 0.940 As
0.750 0.743 0.060 As
0.250 0.006 0.233 Tl
0.750 0.994 0.767 Tl
0.250 0.536 0.339 Sn
0.750 0.356 0.109 Sn
0.250 0.644 0.891 Sn
0.750 0.464 0.661 Sn
0.250 0.265 0.531 Se
0.750 0.735 0.469 Se
```

## Properties
For the raw formation energy, the calculation gives -184 meV per atom. The calculation puts the magnetization at 0.00 μB per cell. The space group is P2_1/m.



18.
A geometry-optimized GePt3Cl structure. Source: the Alexandria database, functional PBE.

Geometry as POSCAR:
```
GePt3Cl
1.0
4.713 0.000 0.000
0.000 4.713 0.000
0.000 0.000 4.713
Ge Pt Cl
1 3 1
Direct
0.000 0.000 0.000 Ge
0.000 0.000 0.500 Pt
0.000 0.500 0.000 Pt
0.500 0.000 0.000 Pt
0.500 0.500 0.500 Cl
```

## Properties
For the raw formation energy, the calculation gives 676 meV per atom. The calculation puts the magnetization at 0.00 μB per cell. The space group is Pm-3m.



19.
A geometry-optimized LaZnTc4 structure. Source: the Alexandria database, functional PBE.

Geometry as POSCAR:
```
LaZnTc4
1.0
-4.069 -0.360 3.464
-2.954 4.325 1.121
-5.050 0.323 -1.757
La Tc Zn
1 4 1
Direct
0.000 0.000 0.000 La
0.376 0.376 0.376 Tc
0.872 0.376 0.376 Tc
0.376 0.872 0.376 Tc
0.376 0.376 0.872 Tc
0.750 0.750 0.750 Zn
```

## Properties
The energy of formation is 290 meV/atom. The calculation puts the magnetization at 0.00 μB per cell. The space group is F-43m.



20.
A geometry-optimized Li2PmSn2Au2 structure. Source: the Alexandria database, functional PBE.

Geometry as POSCAR:
```
Li2PmSn2Au2
1.0
-3.454 -2.384 1.939
-2.485 -2.954 -2.545
3.143 -7.689 1.656
Li Sn Au Pm
2 2 2 1
Direct
0.140 0.140 0.580 Li
0.860 0.860 0.420 Li
0.741 0.741 0.776 Sn
0.259 0.259 0.224 Sn
0.437 0.437 0.689 Au
0.563 0.563 0.311 Au
0.000 0.000 0.000 Pm
```

## Properties
The energy of formation is -568 meV/atom. The calculation puts the magnetization at 0.00 μB per cell. The space group is R-3m.



21.
A geometry-optimized LiFeNi2 structure. Source: the Alexandria database, functional PBE.

Geometry as POSCAR:
```
LiFeNi2
1.0
5.767 -0.003 -0.011
-2.342 3.612 0.069
1.082 0.666 2.154
Ni Fe Li
2 1 1
Direct
0.000 0.000 0.000 Ni
0.500 0.000 0.500 Ni
0.000 0.500 0.500 Fe
0.500 0.500 0.000 Li
```

## Properties
The energy of formation is -9 meV/atom. The calculation puts the magnetization at 3.35 μB per cell. The space group is C2/m.



22.
A geometry-optimized Ta2VSe5 structure. Source: the Alexandria database, functional PBE.

Geometry as POSCAR:
```
Ta2VSe5
1.0
4.356 0.000 1.458
2.178 6.814 0.729
0.016 0.000 7.189
Se Ta V
5 2 1
Direct
0.221 0.738 0.821 Se
0.541 0.738 0.179 Se
0.779 0.262 0.179 Se
0.000 0.500 0.500 Se
0.459 0.262 0.821 Se
0.188 0.500 0.124 Ta
0.812 0.500 0.876 Ta
0.500 0.500 0.500 V
```

## Properties
For the raw formation energy, the calculation gives -521 meV per atom. The calculation puts the magnetization at 1.87 μB per cell. The space group is Fmmm.



23.
A geometry-optimized Be2SiNi structure. Source: the Alexandria database, functional PBE.

Geometry as POSCAR:
```
Be2SiNi
1.0
-1.993 1.523 -3.307
-3.349 -2.332 -0.817
1.348 1.793 3.492
Si Ni Be
1 1 2
Direct
0.250 0.750 0.500 Si
0.500 0.500 0.000 Ni
0.750 0.250 0.500 Be
0.000 0.000 0.000 Be
```

## Properties
For the raw formation energy, the calculation gives -229 meV per atom. The calculation puts the magnetization at 0.00 μB per cell. The space group is Cm.



24.
A geometry-optimized Pu4Sn2F structure. Source: the Alexandria database, functional PBE.

Geometry as POSCAR:
```
Pu4Sn2F
1.0
-0.032 -3.021 3.671
3.754 -2.270 -1.835
3.361 7.809 3.378
Pu F Sn
4 1 2
Direct
0.000 0.500 0.000 Pu
0.182 0.182 0.363 Pu
0.818 0.818 0.637 Pu
0.500 0.000 0.000 Pu
0.000 0.000 0.000 F
0.633 0.633 0.265 Sn
0.367 0.367 0.735 Sn
```

## Properties
For the raw formation energy, the calculation gives -654 meV per atom. The calculation puts the magnetization at 0.20 μB per cell. The space group is I4/mmm.



Calculated electronic total energy in order - -7.679 -4.938 -2.351 -9.478 -4.127 -3.979 -13.389 -4.521 -6.422 -5.226 -3.647 -3.584 -2.233 -3.308 -10.467 -4.257 -3.885 -4.241 -7.654 -3.874 -5.494 -6.802 -4.893 -10.254 eV per atom